An optimized crystal structure of Tb2Pr6Ho3Tm. Source: Alexandria, functional PBE-GGA.

Calculated values
energy relative to the elements: 0.01 eV/atom
space group: No. 12
total DFT energy (no corrections): -0.171 hartree per atom
DOS at the Fermi energy: 1.079 states/eV/atom

Unit cell a=6.2970 b=6.2970 c=11.8672 alpha=95.06 beta=95.06 gamma=119.99
Sites, in units of the cell vectors:
Tb 0.1667 0.8333 0.0000
Tb 0.8333 0.1667 0.0000
Pr 0.0835 0.4163 0.7497
Pr 0.2507 0.2507 0.2505
Pr 0.4163 0.0835 0.7497
Pr 0.5837 0.9165 0.2503
Pr 0.7493 0.7493 0.7495
Pr 0.9165 0.5837 0.2503
Ho 0.0000 0.0000 0.5000
Ho 0.3334 0.6666 0.5000
Ho 0.6666 0.3334 0.5000
Tm 0.5000 0.5000 0.0000

***

An optimized crystal structure of ThSi2Pd. Source: Alexandria, functional PBE-GGA.

Calculated values
space group: No. 62
total DFT energy (no corrections): -0.247 hartree per atom
DOS at the Fermi energy: 0.313 states/eV/atom
E_form (uncorrected): -844 meV per atom

Unit cell a=7.1794 b=4.0963 c=10.3225 alpha=90.00 beta=90.00 gamma=90.00
Sites, in units of the cell vectors:
Th 0.1446 0.2500 0.1271
Th 0.3554 0.7500 0.6271
Th 0.6446 0.2500 0.3729
Th 0.8554 0.7500 0.8729
Si 0.1610 0.2500 0.8220
Si 0.2145 0.2500 0.4232
Si 0.2855 0.7500 0.9232
Si 0.3390 0.7500 0.3220
Si 0.6610 0.2500 0.6780
Si 0.7145 0.2500 0.0768
Si 0.7855 0.7500 0.5768
Si 0.8390 0.7500 0.1780
Pd 0.0025 0.7500 0.3851
Pd 0.4975 0.2500 0.8851
Pd 0.5025 0.7500 0.1149
Pd 0.9975 0.2500 0.6149

***

An optimized crystal structure of ZrSc6Co3. Source: Alexandria, functional PBE-GGA.

Calculated values
energy relative to the elements: -0.14 eV/atom
space group: No. 36
total DFT energy (no corrections): -0.255 hartree per atom
DOS at the Fermi energy: 1.048 states/eV/atom

Unit cell a=7.8520 b=7.8520 c=6.2055 alpha=90.00 beta=90.00 gamma=93.13
Sites, in units of the cell vectors:
Zr 0.1882 0.8118 0.5000
Zr 0.8118 0.1882 0.0000
Sc 0.0330 0.5080 0.2385
Sc 0.1864 0.8136 0.9759
Sc 0.2196 0.2238 0.9813
Sc 0.2238 0.2196 0.4813
Sc 0.4382 0.5618 0.2247
Sc 0.4920 0.9670 0.2385
Sc 0.5080 0.0330 0.7385
Sc 0.5618 0.4382 0.7247
Sc 0.7762 0.7804 0.9813
Sc 0.7804 0.7762 0.4813
Sc 0.8136 0.1864 0.4759
Sc 0.9670 0.4920 0.7385
Co 0.0044 0.9956 0.2366
Co 0.2596 0.5147 0.7297
Co 0.4853 0.7404 0.7297
Co 0.5147 0.2596 0.2297
Co 0.7404 0.4853 0.2297
Co 0.9956 0.0044 0.7366

***

Q: Which of these has the lowest total DFT energy (no corrections)?
A: ZrSc6Co3

***

Repeat the second record exactly.
An optimized crystal structure of ThSi2Pd. Source: Alexandria, functional PBE-GGA.

Calculated values
space group: No. 62
total DFT energy (no corrections): -0.247 hartree per atom
DOS at the Fermi energy: 0.313 states/eV/atom
E_form (uncorrected): -844 meV per atom

Unit cell a=7.1794 b=4.0963 c=10.3225 alpha=90.00 beta=90.00 gamma=90.00
Sites, in units of the cell vectors:
Th 0.1446 0.2500 0.1271
Th 0.3554 0.7500 0.6271
Th 0.6446 0.2500 0.3729
Th 0.8554 0.7500 0.8729
Si 0.1610 0.2500 0.8220
Si 0.2145 0.2500 0.4232
Si 0.2855 0.7500 0.9232
Si 0.3390 0.7500 0.3220
Si 0.6610 0.2500 0.6780
Si 0.7145 0.2500 0.0768
Si 0.7855 0.7500 0.5768
Si 0.8390 0.7500 0.1780
Pd 0.0025 0.7500 0.3851
Pd 0.4975 0.2500 0.8851
Pd 0.5025 0.7500 0.1149
Pd 0.9975 0.2500 0.6149

***

Q: Among the records above, which one has the highest total DFT energy (no corrections)?
A: Tb2Pr6Ho3Tm